Record 1
# PuBeP2O8 PBE optimized geometry
data_PuBeP2O8
_symmetry_space_group_name_H-M 'P -3'
_symmetry_Int_Tables_number 147
_cell_length_a 4.9825
_cell_length_b 4.9825
_cell_length_c 6.1970
_cell_angle_alpha 90.00
_cell_angle_beta 90.00
_cell_angle_gamma 120.00
loop_
_symmetry_equiv_pos_as_xyz
'x,y,z'
'-x,-y,-z'
'-y,x-y,z'
'y,-x+y,-z'
'-x+y,-x,z'
'x-y,x,-z'
loop_
_atom_site_label
_atom_site_type_symbol
_atom_site_fract_x
_atom_site_fract_y
_atom_site_fract_z
Pu1 Pu 0.0000 0.0000 0.0000
Be1 Be 0.0000 0.0000 0.5000
P1 P 0.3333 0.6667 0.7604
O1 O 0.1582 0.3257 0.6878
O2 O 0.3333 0.6667 0.0111
# Formation energy (no corrections)   -2.385 eV/atom

***

Record 2
# Na2DyUSe4 PBE optimized geometry
data_Na2DyUSe4
_symmetry_space_group_name_H-M 'P 1 2/m 1'
_symmetry_Int_Tables_number 10
_cell_length_a 7.193
_cell_length_b 4.146
_cell_length_c 7.431
_cell_angle_alpha 90.00
_cell_angle_beta 108.81
_cell_angle_gamma 90.00
loop_
_symmetry_equiv_pos_as_xyz
'x,y,z'
'-x,-y,-z'
'-x,y,-z'
'x,-y,z'
loop_
_atom_site_label
_atom_site_type_symbol
_atom_site_fract_x
_atom_site_fract_y
_atom_site_fract_z
Na1 Na 0.000 0.000 0.000
Na2 Na 0.500 0.500 0.000
Dy1 Dy 0.000 0.500 0.500
U1 U 0.500 0.000 0.500
Se1 Se 0.242 0.000 0.732
Se2 Se 0.254 0.500 0.267
# Formation energy (no corrections)   -1.424 eV/atom

***

Record 3
# Na2Li4Tl PBE optimized geometry
data_Na2Li4Tl
_symmetry_space_group_name_H-M 'P -1'
_symmetry_Int_Tables_number 2
_cell_length_a 4.591
_cell_length_b 4.604
_cell_length_c 10.479
_cell_angle_alpha 89.80
_cell_angle_beta 89.86
_cell_angle_gamma 60.54
loop_
_symmetry_equiv_pos_as_xyz
'x,y,z'
'-x,-y,-z'
loop_
_atom_site_label
_atom_site_type_symbol
_atom_site_fract_x
_atom_site_fract_y
_atom_site_fract_z
Na1 Na 0.168 0.169 0.112
Li1 Li 0.166 0.166 0.424
Li2 Li 0.168 0.169 0.685
Tl1 Tl 0.500 0.500 0.500
# VASP energy   -0.0664 Ha/atom

***

Record 4
# NbB3I PBE optimized geometry
data_NbB3I
_symmetry_space_group_name_H-M 'P m -3 m'
_symmetry_Int_Tables_number 221
_symmetry_space_group_name_Hall '-P 4 2 3'
_cell_length_a 4.494
_cell_length_b 4.494
_cell_length_c 4.494
_cell_angle_alpha 90.00
_cell_angle_beta 90.00
_cell_angle_gamma 90.00
loop_
_atom_site_label
_atom_site_type_symbol
_atom_site_fract_x
_atom_site_fract_y
_atom_site_fract_z
Nb1 Nb 0.000 0.000 0.000
B1 B 0.000 0.000 0.500
I1 I 0.500 0.500 0.500
# Formation energy (no corrections)   1.831 eV/atom
# Energy above the most stable polymorph in this dataset   0.000 eV/atom

***

Record 5
# AcPmPPd PBE optimized geometry
data_AcPmPPd
_symmetry_space_group_name_H-M 'F -4 3 m'
_symmetry_Int_Tables_number 216
_symmetry_space_group_name_Hall 'F -4 2 3'
_cell_length_a 7.381
_cell_length_b 7.381
_cell_length_c 7.381
_cell_angle_alpha 90.00
_cell_angle_beta 90.00
_cell_angle_gamma 90.00
loop_
_atom_site_label
_atom_site_type_symbol
_atom_site_fract_x
_atom_site_fract_y
_atom_site_fract_z
Ac1 Ac 0.000 0.000 0.000
Pm1 Pm 0.000 0.000 0.500
P1 P 0.250 0.250 0.750
Pd1 Pd 0.250 0.250 0.250
# VASP energy   -0.2081 Ha/atom

***

Record 6
# ErPuCdHg PBE optimized geometry
data_ErPuCdHg
_symmetry_space_group_name_H-M 'F -4 3 m'
_symmetry_Int_Tables_number 216
_symmetry_space_group_name_Hall 'F -4 2 3'
_cell_length_a 7.485
_cell_length_b 7.485
_cell_length_c 7.485
_cell_angle_alpha 90.00
_cell_angle_beta 90.00
_cell_angle_gamma 90.00
loop_
_atom_site_label
_atom_site_type_symbol
_atom_site_fract_x
_atom_site_fract_y
_atom_site_fract_z
Er1 Er 0.000 0.000 0.000
Pu1 Pu 0.000 0.000 0.500
Cd1 Cd 0.250 0.250 0.250
Hg1 Hg 0.250 0.250 0.750
# VASP energy   -0.1913 Ha/atom

***

Record 7
# Li2Ac3Ag7 PBE optimized geometry
data_Li2Ac3Ag7
_symmetry_space_group_name_H-M 'P 1 2/m 1'
_symmetry_Int_Tables_number 10
_cell_length_a 4.867
_cell_length_b 4.508
_cell_length_c 13.807
_cell_angle_alpha 90.00
_cell_angle_beta 98.12
_cell_angle_gamma 90.00
loop_
_symmetry_equiv_pos_as_xyz
'x,y,z'
'-x,-y,-z'
'-x,y,-z'
'x,-y,z'
loop_
_atom_site_label
_atom_site_type_symbol
_atom_site_fract_x
_atom_site_fract_y
_atom_site_fract_z
Li1 Li 0.127 0.000 0.261
Ac1 Ac 0.000 0.000 0.000
Ac2 Ac 0.303 0.500 0.642
Ag1 Ag 0.183 0.500 0.170
Ag2 Ag 0.231 0.000 0.451
Ag3 Ag 0.414 0.000 0.830
Ag4 Ag 0.500 0.500 0.000
# Energy above the most stable polymorph in this dataset   0.023 eV/atom

***

Record 8
# FeRe2Ag PBE optimized geometry
data_FeRe2Ag
_symmetry_space_group_name_H-M 'F m -3 m'
_symmetry_Int_Tables_number 225
_symmetry_space_group_name_Hall '-F 4 2 3'
_cell_length_a 6.169
_cell_length_b 6.169
_cell_length_c 6.169
_cell_angle_alpha 90.00
_cell_angle_beta 90.00
_cell_angle_gamma 90.00
loop_
_atom_site_label
_atom_site_type_symbol
_atom_site_fract_x
_atom_site_fract_y
_atom_site_fract_z
Fe1 Fe 0.000 0.000 0.000
Re1 Re 0.250 0.250 0.250
Ag1 Ag 0.000 0.000 0.500
# Energy above the most stable polymorph in this dataset   0.518 eV/atom

***

Record 9
# KTlFe PBE optimized geometry
data_KTlFe
_symmetry_space_group_name_H-M 'F -4 3 m'
_symmetry_Int_Tables_number 216
_symmetry_space_group_name_Hall 'F -4 2 3'
_cell_length_a 7.165
_cell_length_b 7.165
_cell_length_c 7.165
_cell_angle_alpha 90.00
_cell_angle_beta 90.00
_cell_angle_gamma 90.00
loop_
_atom_site_label
_atom_site_type_symbol
_atom_site_fract_x
_atom_site_fract_y
_atom_site_fract_z
K1 K 0.000 0.000 0.000
Tl1 Tl 0.000 0.000 0.500
Fe1 Fe 0.250 0.250 0.250
# Energy above the most stable polymorph in this dataset   0.330 eV/atom

***

Record 10
# LaH8Rh6 PBE optimized geometry
data_LaH8Rh6
_symmetry_space_group_name_H-M 'R -3'
_symmetry_Int_Tables_number 148
_symmetry_space_group_name_Hall '-R 3'
_cell_length_a 8.0733
_cell_length_b 8.0733
_cell_length_c 7.4875
_cell_angle_alpha 90.00
_cell_angle_beta 90.00
_cell_angle_gamma 120.00
loop_
_atom_site_label
_atom_site_type_symbol
_atom_site_fract_x
_atom_site_fract_y
_atom_site_fract_z
La1 La 0.0000 0.0000 0.0000
H1 H 0.0000 0.0000 0.3309
H2 H 0.0071 0.4144 0.7906
Rh1 Rh 0.0359 0.2416 0.6584
# VASP energy   -0.1912 Ha/atom

***

Record 11
# ZrBeAs4 PBE optimized geometry
data_ZrBeAs4
_symmetry_space_group_name_H-M 'F -4 3 m'
_symmetry_Int_Tables_number 216
_symmetry_space_group_name_Hall 'F -4 2 3'
_cell_length_a 7.686
_cell_length_b 7.686
_cell_length_c 7.686
_cell_angle_alpha 90.00
_cell_angle_beta 90.00
_cell_angle_gamma 90.00
loop_
_atom_site_label
_atom_site_type_symbol
_atom_site_fract_x
_atom_site_fract_y
_atom_site_fract_z
Zr1 Zr 0.000 0.000 0.000
Be1 Be 0.250 0.250 0.250
As1 As 0.125 0.125 0.625
# VASP energy   -0.1735 Ha/atom

***

Record 12
# TlGaCuF2 PBE optimized geometry
data_TlGaCuF2
_symmetry_space_group_name_H-M 'P 4/m m m'
_symmetry_Int_Tables_number 123
_symmetry_space_group_name_Hall '-P 4 2'
_cell_length_a 4.103
_cell_length_b 4.103
_cell_length_c 5.480
_cell_angle_alpha 90.00
_cell_angle_beta 90.00
_cell_angle_gamma 90.00
loop_
_atom_site_label
_atom_site_type_symbol
_atom_site_fract_x
_atom_site_fract_y
_atom_site_fract_z
Tl1 Tl 0.000 0.000 0.000
Ga1 Ga 0.500 0.500 0.000
Cu1 Cu 0.000 0.000 0.500
F1 F 0.000 0.500 0.500
# Formation energy (no corrections)   -0.809 eV/atom

***

Total moment across the listed records, respectively: 4.00, 3.01, 0.00, 0.00, 3.17, 24.41, 0.00, 8.50, 10.91, 0.00, 0.00, 0.00 μB/cell.